1.
Below is Ca2ThP3Rh12 after structural relaxation, with properties calculated at the PBE level.

a b c (Å): 6.700 6.700 6.700
angles (deg): 83.40 83.40 83.40
Atoms (fractional coordinates):
Ca (0.614, 0.614, 0.614)
Ca (0.386, 0.386, 0.386)
P (0.000, 0.500, 0.000)
P (0.000, 0.000, 0.500)
P (0.500, 0.000, 0.000)
Rh (0.364, 0.364, 0.919)
Rh (0.636, 0.636, 0.081)
Rh (0.183, 0.659, 0.183)
Rh (0.183, 0.183, 0.659)
Rh (0.364, 0.919, 0.364)
Rh (0.817, 0.817, 0.341)
Rh (0.817, 0.341, 0.817)
Rh (0.659, 0.183, 0.183)
Rh (0.919, 0.364, 0.364)
Rh (0.636, 0.081, 0.636)
Rh (0.341, 0.817, 0.817)
Rh (0.081, 0.636, 0.636)
Th (0.000, 0.000, 0.000)

Values from the calculation:
SG: No. 166
E: -6.77 eV per atom
spin magnetization: 0.00 μB/atom

***

2.
Below is CaTiP2Rh5 after structural relaxation, with properties calculated at the PBE level.

a b c (Å): 4.037 4.037 9.905
angles (deg): 90.00 90.00 90.00
Atoms (fractional coordinates):
Rh (0.500, 0.500, 0.500)
Rh (0.500, 0.000, 0.837)
Rh (0.000, 0.500, 0.163)
Rh (0.500, 0.000, 0.163)
Rh (0.000, 0.500, 0.837)
P (0.500, 0.500, 0.727)
P (0.500, 0.500, 0.273)
Ca (0.000, 0.000, 0.500)
Ti (0.000, 0.000, 0.000)

Values from the calculation:
SG: No. 123
E: -7.05 eV per atom
spin magnetization: 0.00 μB/atom